Entry 1:
Material: DyInAu2
Method: DFT, PBE
State: relaxed

Cell: 4.8370 4.8370 3.7561 Å, 90.00 90.00 90.00°
Closest atoms and distances in Å follow each position.
Space group P4/mmm (No. 123)
One atom of each set of equivalent atoms:
1 Dy 0.0000 0.0000 0.0000  8 Au 3.06, 4 In 3.42
2 In 0.5000 0.5000 0.0000  8 Au 3.06, 4 Dy 3.42
3 Au 0.0000 0.5000 0.5000  4 In 3.06, 4 Dy 3.06, 4 Au 3.42

Values from the calculation:
The calculation puts the energy of formation from the pure elements at -0.579 eV per atom. As for the density: 12.7 g/cm3.

---

Entry 2:
Material: Dy6InAu2
Method: DFT, PBE
State: relaxed

Cell: 9.5678 9.8163 10.6651 Å, 90.00 90.00 90.00°
Closest atoms and distances in Å follow each position.
Space group Immm (No. 71)
One atom of each set of equivalent atoms:
1 Dy 0.0000 0.1986 0.2386  1 Au 2.91, 1 In 3.21
2 Dy 0.2027 0.5000 0.1734  3 Au 2.84-3.10
3 Dy 0.2137 0.3154 0.5000  3 Au 3.08-3.15, 1 In 3.28
4 In 0.0000 0.0000 0.0000  8 Dy 3.21-3.28, 2 Au 3.36
5 In 0.0000 0.0000 0.5000  12 Dy 3.39-3.71
6 Au 0.0000 0.3419 0.0000  8 Dy 2.91-3.15, 1 Au 3.10
7 Au 0.0000 0.5000 0.3673  1 Au 2.83, 6 Dy 2.84-3.08

Values from the calculation:
The calculation puts the energy of formation from the pure elements at -0.498 eV per atom. As for the density: 9.8 g/cm3.

---

Entry 3:
Material: DyIn2Au
Method: DFT, PBE
State: relaxed

Cell: 3.4598 3.4598 31.6885 Å, 90.00 90.00 120.00°
Closest atoms and distances in Å follow each position.
Space group R-3m (No. 166, hexagonal axes)
One atom of each set of equivalent atoms:
1 Dy 0.0000 0.0000 0.0000  2 In 3.16, 6 Dy 3.46
2 In 0.0000 0.0000 0.0999  3 Au 2.91, 1 Dy 3.16
3 Au 0.0000 0.0000 0.5000  6 In 2.91

Values from the calculation:
The calculation puts the energy of formation from the pure elements at 0.045 eV per atom. As for the density: 8.9 g/cm3.

---

Entry 4:
Material: Dy2In3Au4
Method: DFT, PBE
State: relaxed

Cell: 8.5291 4.9252 9.4761 Å, 90.00 90.05 90.00°
Closest atoms and distances in Å follow each position.
Space group C2/m (No. 12)
One atom of each set of equivalent atoms:
1 Dy 0.1660 0.0000 0.2843  7 Au 2.98-3.06
2 In 0.0000 0.5000 0.5000  8 Au 2.99-3.18
3 In 0.1673 0.0000 0.9204  4 Au 2.95-3.05, 3 In 3.21-3.23
4 Au 0.0009 0.5000 0.8360  4 In 2.95-3.18, 3 Dy 3.06, 1 Au 3.11
5 Au 0.1671 0.0000 0.5987  4 Dy 2.98-3.05, 4 In 2.99-3.05

Values from the calculation:
The calculation puts the energy of formation from the pure elements at -0.577 eV per atom. As for the density: 12.2 g/cm3.

---

Entry 5:
Material: DyInAu6
Method: DFT, PBE
State: relaxed

Cell: 9.4639 4.4077 8.3655 Å, 90.00 116.12 90.00°
Closest atoms and distances in Å follow each position.
Space group C2/m (No. 12)
One atom of each set of equivalent atoms:
1 Dy 0.0000 0.0000 0.0000  12 Au 2.99-3.06
2 In 0.0000 0.0000 0.5000  12 Au 2.91-3.09
3 Au 0.0098 0.5000 0.7513  8 Au 2.96-3.09, 2 In 3.02, 2 Dy 3.06
4 Au 0.2444 0.0000 0.3786  3 In 2.91-3.09, 8 Au 2.97-3.09, 1 Dy 2.99
5 Au 0.2443 0.5000 0.1293  8 Au 2.96-3.12, 1 In 2.98, 3 Dy 3.03-3.05

Values from the calculation:
The calculation puts the energy of formation from the pure elements at -0.407 eV per atom. As for the density: 15.5 g/cm3.

---

Entry 6:
Material: DyInAu3
Method: DFT, PBE
State: relaxed

Cell: 4.7961 6.4221 7.0363 Å, 90.00 90.00 90.00°
Closest atoms and distances in Å follow each position.
Space group Pmmn (No. 59, origin choice 2)
One atom of each set of equivalent atoms:
1 Dy 0.2500 0.2500 0.1820  8 Au 2.97-3.31
2 In 0.2500 0.7500 0.4518  3 Au 2.72-2.79
3 Au 0.2500 0.0343 0.7509  4 Au 2.77-3.05, 1 In 2.79, 2 Dy 3.05
4 Au 0.2500 0.7500 0.0659  1 In 2.72, 2 Au 2.87, 2 Dy 2.97

Values from the calculation:
The calculation puts the energy of formation from the pure elements at -0.544 eV per atom. As for the density: 13.3 g/cm3.

---

Entry 7:
Material: Dy3InAu
Method: DFT, PBE
State: relaxed

Cell: 14.6100 6.8214 11.1219 Å, 90.00 92.38 90.00°
Closest atoms and distances in Å follow each position.
Space group C2/c (No. 15)
One atom of each set of equivalent atoms:
1 Dy 0.0536 0.2049 0.0821  2 Au 2.99-3.06, 1 In 3.18
2 Dy 0.1176 0.4672 0.8354  2 Au 3.00-3.09, 2 In 3.19-3.26
3 Dy 0.1848 0.0311 0.3303  2 Au 2.83-2.97
4 In 0.1297 0.2640 0.5784  1 Au 2.93, 4 Dy 3.18-3.26
5 Au 0.0000 0.1127 0.7500  2 In 2.93, 6 Dy 2.97-3.09
6 Au 0.2500 0.2500 0.0000  6 Dy 2.83-3.06

Values from the calculation:
The calculation puts the energy of formation from the pure elements at -0.418 eV per atom. As for the density: 9.6 g/cm3.

---

Entry 8:
Material: Dy2InAu8
Method: DFT, PBE
State: relaxed

Cell: 14.7232 4.9796 7.0453 Å, 90.00 118.37 90.00°
Closest atoms and distances in Å follow each position.
Space group C2/m (No. 12)
One atom of each set of equivalent atoms:
1 Dy 0.2084 0.0000 0.2058  10 Au 2.98-3.06
2 In 0.0000 0.5000 0.5000  4 Au 2.71-2.72
3 Au 0.0005 0.0000 0.2059  7 Au 2.90-3.01, 2 Dy 3.06, 2 In 3.24
4 Au 0.1290 0.5000 0.9320  1 In 2.72, 3 Au 2.79-3.00, 3 Dy 2.98-3.02
5 Au 0.1313 0.5000 0.3302  1 In 2.71, 4 Au 2.79-3.01, 3 Dy 2.99-3.03
6 Au 0.1623 0.0000 0.6624  6 Au 2.95-3.30, 2 Dy 3.00, 2 In 3.26

Values from the calculation:
The calculation puts the energy of formation from the pure elements at -0.505 eV per atom. As for the density: 14.7 g/cm3.

---

Entry 9:
Material: DyInAu2
Method: DFT, PBE
State: relaxed

Cell: 6.9839 6.9839 6.9839 Å, 90.00 90.00 90.00°
Closest atoms and distances in Å follow each position.
Space group Fm-3m (No. 225)
One atom of each set of equivalent atoms:
1 Dy 0.0000 0.0000 0.0000  8 Au 3.02
2 In 0.0000 0.0000 0.5000  8 Au 3.02
3 Au 0.2500 0.2500 0.2500  4 In 3.02, 4 Dy 3.02

Values from the calculation:
The calculation puts the energy of formation from the pure elements at -0.709 eV per atom. As for the density: 13.1 g/cm3.

---

Entry 10:
Material: Dy3In4Au2
Method: DFT, PBE
State: relaxed

Cell: 11.1316 4.8041 9.0773 Å, 90.00 116.10 90.00°
Closest atoms and distances in Å follow each position.
Space group C2/m (No. 12)
One atom of each set of equivalent atoms:
1 Dy 0.0000 0.0000 0.0000  8 In 3.16-3.39, 4 Au 3.28
2 Dy 0.1756 0.5000 0.6501  4 Au 3.15-3.46, 7 In 3.28-3.39
3 In 0.0302 0.0000 0.3631  2 Au 2.77, 1 In 2.85
4 In 0.2351 0.5000 0.0770  1 Au 2.77, 2 In 2.87
5 Au 0.1026 0.5000 0.2732  3 In 2.77

Values from the calculation:
The calculation puts the energy of formation from the pure elements at -0.580 eV per atom. As for the density: 10.2 g/cm3.

---

Entry 11:
Material: Dy6In5Au
Method: DFT, PBE
State: relaxed

Cell: 5.2711 7.5078 8.3387 Å, 90.00 108.16 90.00°
Closest atoms and distances in Å follow each position.
Space group P2/m (No. 10)
One atom of each set of equivalent atoms:
1 Dy 0.0000 0.2411 0.0000  2 Au 3.20, 6 In 3.23-3.31
2 Dy 0.3382 0.2461 0.6763  1 Au 3.16, 7 In 3.20-3.29
3 In 0.1683 0.0000 0.3371  8 Dy 3.22-3.26
4 In 0.1687 0.5000 0.3378  8 Dy 3.25-3.31
5 In 0.5000 0.5000 0.0000  8 Dy 3.20-3.27
6 Au 0.5000 0.0000 0.0000  8 Dy 3.16-3.20

Values from the calculation:
The calculation puts the energy of formation from the pure elements at -0.509 eV per atom. As for the density: 9.2 g/cm3.

---

Entry 12:
Material: Dy12InAu6
Method: DFT, PBE
State: relaxed

Cell: 13.2943 13.2943 11.5026 Å, 90.00 90.00 120.00°
Closest atoms and distances in Å follow each position.
Space group R-3 (No. 148, hexagonal axes)
One atom of each set of equivalent atoms:
1 Dy 0.0350 0.8214 0.3910  4 Au 2.94-3.10
2 Dy 0.0395 0.8146 0.8953  2 Au 2.84-2.87, 1 In 3.02
3 In 0.0000 0.0000 0.0000  6 Dy 3.02
4 Au 0.0448 0.7881 0.6483  6 Dy 2.84-3.10

Values from the calculation:
The calculation puts the energy of formation from the pure elements at -0.387 eV per atom. As for the density: 9.2 g/cm3.

---

Q: Which of these has the highest energy of formation from the pure elements?
A: DyIn2Au